1.
The following is a PBE calculation of an optimized crystal structure of CaP2PdO7, from Alexandria.

```
CaP2PdO7
1.0
5.997 0.000 0.000
0.000 7.316 0.000
0.000 0.000 13.113
O Ca P Pd
28 4 8 4
direct
0.250 0.412 0.000
0.033 0.194 0.887
0.467 0.307 0.614
0.467 0.194 0.887
0.750 0.912 0.500
0.750 0.545 0.191
0.967 0.693 0.386
0.033 0.306 0.387
0.533 0.694 0.613
0.750 0.588 0.000
0.967 0.694 0.613
0.967 0.807 0.886
0.033 0.193 0.114
0.467 0.193 0.114
0.750 0.955 0.691
0.967 0.806 0.113
0.250 0.045 0.309
0.533 0.807 0.886
0.250 0.454 0.192
0.033 0.307 0.614
0.750 0.546 0.808
0.250 0.088 0.500
0.750 0.954 0.308
0.467 0.306 0.387
0.250 0.455 0.809
0.250 0.046 0.692
0.533 0.806 0.113
0.533 0.693 0.386
0.250 0.750 0.750
0.750 0.250 0.250
0.750 0.250 0.750
0.250 0.750 0.250
0.250 0.310 0.110
0.750 0.811 0.610
0.750 0.689 0.110
0.750 0.810 0.390
0.750 0.690 0.890
0.250 0.189 0.390
0.250 0.190 0.610
0.250 0.311 0.890
0.000 0.500 0.500
0.500 0.500 0.500
0.500 0.000 0.000
0.000 0.000 0.000
```

Output
Its magnetization is 0.00 μB per formula unit. Its raw total energy is -76.3 eV/f.u. Its uncorrected formation energy is -2.142 eV per atom. The calculated volume is 13.07 Å³ per atom. Its symmetry is No. 62.



2.
The following is a PBE calculation of an optimized crystal structure of PrSiIrPd, from Alexandria.

```
PrSiIrPd
1.0
-2.205 2.701 -2.727
-2.722 0.143 2.343
3.487 3.914 1.056
Ir Pr Si Pd
1 1 1 1
direct
0.000 0.921 0.842
0.500 0.230 0.460
0.000 0.580 0.159
0.500 0.497 0.995
```

Output
Its magnetization is 0.00 μB per formula unit. Its raw total energy is -26.0 eV/f.u. Its uncorrected formation energy is -0.431 eV per atom. The calculated volume is 20.03 Å³ per atom. Its symmetry is No. 38.



3.
The following is a PBE calculation of an optimized crystal structure of Fe4Sb, from Alexandria.

```
Fe4Sb
1.0
1.036 -4.233 1.383
-3.884 1.603 -1.803
2.813 0.417 -3.580
Fe Sb
4 1
direct
0.194 0.588 0.782
0.588 0.806 0.395
0.412 0.194 0.605
0.806 0.412 0.218
0.000 0.000 0.000
```

Output
Its magnetization is 9.28 μB per formula unit. Its raw total energy is -37.4 eV/f.u. Its uncorrected formation energy is 0.120 eV per atom. The calculated volume is 13.34 Å³ per atom. Its symmetry is No. 87.



4.
The following is a PBE calculation of an optimized crystal structure of SmTiO3, from Alexandria.

```
SmTiO3
1.0
-2.605 4.735 -0.586
-2.759 -0.904 4.961
5.719 3.621 3.840
O Ti Sm
12 4 4
direct
0.804 0.798 0.052
0.696 0.298 0.448
0.105 0.466 0.250
0.605 0.034 0.750
0.696 0.298 0.052
0.304 0.702 0.552
0.196 0.202 0.948
0.395 0.966 0.250
0.304 0.702 0.948
0.895 0.534 0.750
0.196 0.202 0.552
0.804 0.798 0.448
0.500 0.000 0.000
0.000 0.500 0.000
0.000 0.500 0.500
0.500 0.000 0.500
0.018 0.934 0.750
0.518 0.566 0.250
0.482 0.434 0.750
0.982 0.066 0.250
```

Output
Its magnetization is 1.00 μB per formula unit. Its raw total energy is -43.3 eV/f.u. Its uncorrected formation energy is -3.172 eV per atom. The calculated volume is 12.16 Å³ per atom. Its symmetry is No. 62.



5.
The following is a PBE calculation of an optimized crystal structure of Pr5Ge2C, from Alexandria.

```
Pr5Ge2C
1.0
5.856 0.000 0.000
-2.928 6.371 0.000
0.000 0.000 13.463
Pr C Ge
10 2 4
direct
0.664 0.327 0.895
0.945 0.889 0.874
0.299 0.598 0.750
0.336 0.673 0.105
0.701 0.402 0.250
0.055 0.111 0.374
0.336 0.673 0.395
0.945 0.889 0.626
0.055 0.111 0.126
0.664 0.327 0.605
0.204 0.408 0.250
0.796 0.592 0.750
0.825 0.649 0.434
0.175 0.351 0.934
0.175 0.351 0.566
0.825 0.649 0.066
```

Output
Its magnetization is 0.00 μB per formula unit. The formation energy is -232 meV per atom. Its raw total energy is -44.2 eV/f.u. The calculated volume is 31.39 Å³ per atom. Its symmetry is No. 63.



6.
The following is a PBE calculation of an optimized crystal structure of Sm2Er5Th4, from Alexandria.

```
Sm2Er5Th4
1.0
-3.087 1.786 0.146
1.633 -4.955 7.787
4.316 10.893 1.858
Er Th Sm
5 4 2
direct
0.962 0.099 0.274
0.587 0.815 0.457
0.500 0.000 0.000
0.413 0.185 0.543
0.038 0.901 0.726
0.772 0.454 0.365
0.315 0.362 0.093
0.685 0.638 0.907
0.228 0.546 0.635
0.132 0.720 0.180
0.868 0.280 0.820
```

Output
Its magnetization is 0.00 μB per formula unit. The formation energy is 29 meV per atom. Its raw total energy is -61.6 eV/f.u. The calculated volume is 31.87 Å³ per atom. Its symmetry is No. 2.